(1)
Density functional theory data (PBEsol) for a relaxed Ca2Be2Sn crystal.

The structure in extended XYZ format:
```
5
Lattice="4.424 0.000 0.000 0.000 4.424 0.000 -2.212 -2.212 5.627" Properties=species:S:1:pos:R:3 pbc="T T T"
Ca 0.000 2.212 2.813
Ca 2.212 0.000 2.813
Sn 0.000 0.000 0.000
Be 0.000 0.000 4.628
Be 2.212 2.212 0.999
```

calculated formation energy = 420 meV per atom
D(E_F) = 3.29 states/eV/cell
total magnetic moment = 0.000 μB/atom
DFT total energy = -14.4 eV for the cell shown

=====

(2)
Density functional theory data (PBEsol) for a relaxed SrCaBe2 crystal.

The structure in extended XYZ format:
```
4
Lattice="4.727 0.000 0.000 2.364 4.094 0.000 2.364 1.365 5.275" Properties=species:S:1:pos:R:3 pbc="T T T"
Sr 0.000 0.000 0.000
Ca 4.727 2.729 2.638
Be 7.091 4.094 2.977
Be 2.364 1.365 2.298
```

calculated formation energy = 467 meV per atom
D(E_F) = 1.96 states/eV/cell
total magnetic moment = 0.000 μB/atom
DFT total energy = -10.1 eV for the cell shown

=====

(3)
Density functional theory data (PBEsol) for a relaxed SrCaBe2 crystal.

The structure in extended XYZ format:
```
4
Lattice="-2.333 -0.600 2.781 -1.454 -2.841 -1.832 4.622 -4.271 2.956" Properties=species:S:1:pos:R:3 pbc="T T T"
Ca -1.893 -1.720 0.475
Sr 0.418 -3.856 1.953
Be 0.849 -0.785 0.543
Be 3.773 -3.486 2.413
```

calculated formation energy = 466 meV per atom
D(E_F) = 3.64 states/eV/cell
total magnetic moment = 0.000 μB/atom
DFT total energy = -10.1 eV for the cell shown